A plane-wave DFT calculation with PBE-GGA was carried out for crystalline ErHfCo at its relaxed geometry.

The structure belongs to space group C2/m (No. 12); the cell edges are 13.1443, 3.4205 and 6.2427 Å and the angles 90.00°, 118.18° and 90.00°. Symmetry generates all atoms from Er at (0.2134, 0.0000, 0.2131), Hf at (0.0005, 0.5000, 0.7449) and Co at (0.1102, 0.0000, 0.6094).

The density comes out at 10.86 g cm⁻³. The calculation puts the formation enthalpy at 0 K at -0.21 eV per atom.

***

A plane-wave DFT calculation with PBE-GGA was carried out for crystalline ErHf2Co at its relaxed geometry.

The structure belongs to space group R3m (No. 160, hexagonal axes); the cell edges are 3.4777, 3.4777 and 25.5057 Å and the angles 90.00°, 90.00° and 120.00°. Symmetry generates all atoms from Er at (0.0000, 0.0000, 0.0000), Hf at (0.0000, 0.0000, 0.5563), Hf at (0.0000, 0.0000, 0.7709) and Co at (0.0000, 0.0000, 0.1628).

The density comes out at 10.87 g cm⁻³. The calculation puts the formation enthalpy at 0 K at 0.04 eV per atom.

***

A plane-wave DFT calculation with PBE-GGA was carried out for crystalline Er2HfCo at its relaxed geometry.

The structure belongs to space group R-3m (No. 166, hexagonal axes); the cell edges are 3.2754, 3.2754 and 30.3383 Å and the angles 90.00°, 90.00° and 120.00°. Symmetry generates all atoms from Er at (0.0000, 0.0000, 0.1052), Hf at (0.0000, 0.0000, 0.0000) and Co at (0.0000, 0.0000, 0.5000).

The density comes out at 10.11 g cm⁻³. The calculation puts the formation enthalpy at 0 K at 0.36 eV per atom.

***

A plane-wave DFT calculation with PBE-GGA was carried out for crystalline Er2HfCo9 at its relaxed geometry.

The structure belongs to space group R-3m (No. 166, hexagonal axes); the cell edges are 4.8613, 4.8613 and 24.3959 Å and the angles 90.00°, 90.00° and 120.00°. Symmetry generates all atoms from Er at (0.0000, 0.0000, 0.1389), Hf at (0.0000, 0.0000, 0.0000), Co at (0.0000, 0.0000, 0.3344), Co at (0.0000, 0.0000, 0.5000) and Co at (0.0019, 0.5010, 0.9197).

The density comes out at 10.41 g cm⁻³. The calculation puts the formation enthalpy at 0 K at -0.20 eV per atom.

***

A plane-wave DFT calculation with PBE-GGA was carried out for crystalline Er2HfCo at its relaxed geometry.

The structure belongs to space group P4/mmm (No. 123); the cell edges are 3.3421, 3.3421 and 7.9086 Å and the angles 90.00°, 90.00° and 90.00°. Symmetry generates all atoms from Er at (0.0000, 0.0000, 0.2049), Hf at (0.5000, 0.5000, 0.5000) and Co at (0.5000, 0.5000, 0.0000).

The density comes out at 10.75 g cm⁻³. The calculation puts the formation enthalpy at 0 K at 0.01 eV per atom.

***

A plane-wave DFT calculation with PBE-GGA was carried out for crystalline ErHfCo at its relaxed geometry.

The structure belongs to space group I4mm (No. 107); the cell edges are 3.2511, 3.2511 and 11.6099 Å and the angles 90.00°, 90.00° and 90.00°. Symmetry generates all atoms from Er at (0.0000, 0.0000, 0.0000), Hf at (0.0000, 0.0000, 0.2707) and Co at (0.0000, 0.0000, 0.6649).

The density comes out at 10.95 g cm⁻³. The calculation puts the formation enthalpy at 0 K at -0.11 eV per atom.

***

A plane-wave DFT calculation with PBE-GGA was carried out for crystalline ErHf2Co at its relaxed geometry.

The structure belongs to space group R-3m (No. 166, hexagonal axes); the cell edges are 3.2966, 3.2966 and 29.3153 Å and the angles 90.00°, 90.00° and 120.00°. Symmetry generates all atoms from Er at (0.0000, 0.0000, 0.0000), Hf at (0.0000, 0.0000, 0.1107) and Co at (0.0000, 0.0000, 0.5000).

The density comes out at 10.53 g cm⁻³. The calculation puts the formation enthalpy at 0 K at 0.23 eV per atom.

***

A plane-wave DFT calculation with PBE-GGA was carried out for crystalline Er3HfCo4 at its relaxed geometry.

The structure belongs to space group P4/mmm (No. 123); the cell edges are 3.2581, 3.2581 and 13.1196 Å and the angles 90.00°, 90.00° and 90.00°. Symmetry generates all atoms from Er at (0.0000, 0.0000, 0.0000), Er at (0.0000, 0.0000, 0.2526), Hf at (0.0000, 0.0000, 0.5000), Co at (0.5000, 0.5000, 0.1288) and Co at (0.5000, 0.5000, 0.3911).

The density comes out at 10.92 g cm⁻³. The calculation puts the formation enthalpy at 0 K at -0.26 eV per atom.